## MnMo3F (GGA-PBEsol)

Data for an optimized crystal structure of MnMo3F.

Summary:
density	8.7	g/cm³
formation energy without anion corrections	0.69	eV/atom

```
data_MnMo3F
_chemical_formula_sum 'Mn1 Mo3 F1'
_cell_length_a 4.1035
_cell_length_b 4.1035
_cell_length_c 4.1035
_cell_angle_alpha 90.00
_cell_angle_beta 90.00
_cell_angle_gamma 90.00
_symmetry_space_group_name_H-M 'P m -3 m'
_symmetry_Int_Tables_number 221
_symmetry_space_group_name_Hall '-P 4 2 3'
loop_
_atom_site_label
_atom_site_fract_x
_atom_site_fract_y
_atom_site_fract_z
_atom_site_occupancy
Mn1 0.0000 0.0000 0.0000 1
Mo1 0.0000 0.5000 0.5000 1
F1 0.5000 0.5000 0.5000 1
```